Compound: DyNpSn2
Source: Alexandria via LeMat-Bulk
Functional: GGA-PBE
Structure: relaxed

Lattice parameters (Å, degrees): 4.8970 4.8970 4.3823 90.00 90.00 90.00
Space group P4/mmm (No. 123)
One atom of each set of equivalent atoms:
Dy (0.0000, 0.0000, 0.0000) x1
Np (0.5000, 0.5000, 0.0000) x1
Sn (0.0000, 0.5000, 0.5000) x2

Output
energy of formation from the pure elements = -0.25 eV/atom